# 1
# NbInRhO6, relaxed, DFT GGA-PBE
data_NbInRhO6
_cell_length_a 4.795
_cell_length_b 4.795
_cell_length_c 9.578
_cell_angle_alpha 90.00
_cell_angle_beta 90.00
_cell_angle_gamma 90.00
_space_group_name_H-M_alt 'P 42 n m'
_space_group_IT_number 102
_space_group_name_Hall 'P 4n -2n'
loop_
_atom_site_label
_atom_site_type_symbol
_atom_site_fract_x
_atom_site_fract_y
_atom_site_fract_z
Nb1 Nb 0.000 0.000 0.000
In1 In 0.000 0.000 0.331
Rh1 Rh 0.000 0.000 0.663
O1 O 0.182 0.182 0.832
O2 O 0.200 0.200 0.508
O3 O 0.206 0.206 0.150
# Crystal system: tetragonal
# Formation energy without anion corrections, eV per atom: -1.585
# Raw total energy, eV per atom: -7.131
# Mass density, g/cm3: 6.13

=====

# 2
# TbClO, relaxed, DFT GGA-PBE
data_TbClO
_cell_length_a 3.6928
_cell_length_b 3.6928
_cell_length_c 5.4808
_cell_angle_alpha 90.00
_cell_angle_beta 90.00
_cell_angle_gamma 120.00
_space_group_name_H-M_alt 'P 3 m 1'
_space_group_IT_number 156
_space_group_name_Hall 'P 3 -2"'
loop_
_atom_site_label
_atom_site_type_symbol
_atom_site_fract_x
_atom_site_fract_y
_atom_site_fract_z
Tb1 Tb 0.0000 0.0000 0.0000
Cl1 Cl 0.3333 0.6667 0.6597
O1 O 0.6667 0.3333 0.1043
# Crystal system: trigonal
# Formation energy without anion corrections, eV per atom: -2.923
# Raw total energy, eV per atom: -6.735
# Mass density, g/cm3: 5.40

=====

no.,magnetization (Bohr magnetons per cell),D(E_F) (states/eV/f.u.),calculated volume (Å³/cell)
1,1.988,4.20,220
2,0.000,0.00,65